No. 1
ScHgHRh2 | PBE | relaxed

Cell lengths 4.135, 4.135, 4.026 Å; angles 90.00, 90.00, 90.00 degrees
Atoms (fractional coordinates):
Sc 0.000 0.000 0.500
H 0.000 0.000 0.000
Rh 0.000 0.500 0.000
Rh 0.500 0.000 0.000
Hg 0.500 0.500 0.500

Values from the calculation:
Total DFT energy (no corrections): -5.4065 eV per atom
Crystal system: tetragonal
Total moment: 0.00 Bohr magnetons per cell



No. 2
TlFe2Pd | PBE | relaxed

Cell lengths 7.207, 7.207, 5.754 Å; angles 51.23, 51.23, 90.00 degrees
Atoms (fractional coordinates):
Tl 0.000 0.000 0.000
Tl 0.750 0.250 0.500
Fe 0.603 0.125 0.250
Fe 0.147 0.625 0.250
Fe 0.375 0.397 0.750
Fe 0.875 0.853 0.750
Pd 0.500 0.500 0.000
Pd 0.250 0.750 0.500

Values from the calculation:
Energy relative to the elements: 0.565 eV per atom
Total DFT energy (no corrections): -5.5563 eV per atom
Crystal system: tetragonal
Total moment: 11.62 Bohr magnetons per cell



No. 3
LaGePd | PBE | relaxed

Cell lengths 4.506, 4.506, 11.600 Å; angles 90.00, 90.00, 120.00 degrees
Atoms (fractional coordinates):
La 0.495 0.989 0.000
La 0.495 0.989 0.668
La 0.495 0.989 0.332
Ge 0.161 0.323 0.149
Ge 0.161 0.323 0.851
Ge 0.828 0.656 0.500
Pd 0.828 0.656 0.176
Pd 0.828 0.656 0.824
Pd 0.161 0.323 0.500

Values from the calculation:
Energy relative to the elements: -0.944 eV per atom
Total DFT energy (no corrections): -5.8563 eV per atom
Crystal system: hexagonal
Total moment: 0.00 Bohr magnetons per cell



No. 4
DyY3Th | PBE | relaxed

Cell lengths 6.274, 9.576, 9.242 Å; angles 137.84, 90.22, 108.89 degrees
Atoms (fractional coordinates):
Dy 0.632 0.095 0.246
Dy 0.368 0.905 0.754
Y 0.839 0.500 0.243
Y 0.773 0.701 0.745
Y 0.442 0.704 0.258
Y 0.558 0.296 0.742
Y 0.161 0.500 0.757
Y 0.227 0.299 0.255
Th 0.977 0.096 0.749
Th 0.023 0.904 0.251

Values from the calculation:
Energy relative to the elements: 0.029 eV per atom
Total DFT energy (no corrections): -6.2534 eV per atom
Crystal system: triclinic
Total moment: 0.00 Bohr magnetons per cell



No. 5
RbCrPt2Se | PBE | relaxed

Cell lengths 4.957, 4.895, 4.957 Å; angles 90.00, 90.00, 90.00 degrees
Atoms (fractional coordinates):
Cr 0.000 0.500 0.000
Se 0.000 0.000 0.000
Rb 0.500 0.500 0.500
Pt 0.000 0.000 0.500
Pt 0.500 0.000 0.000

Values from the calculation:
Total DFT energy (no corrections): -4.8957 eV per atom
Energy relative to the elements, uncorrected: 335.8 meV per atom
Crystal system: tetragonal
Total moment: 4.78 Bohr magnetons per cell



No. 6
Pm3Mg3Hg | PBE | relaxed

Cell lengths 5.150, 3.430, 11.323 Å; angles 98.71, 103.15, 90.00 degrees
Atoms (fractional coordinates):
Pm 0.300 0.800 0.600
Pm 0.704 0.204 0.408
Pm 0.997 0.997 0.993
Mg 0.139 0.639 0.278
Mg 0.861 0.361 0.721
Mg 0.567 0.567 0.134
Hg 0.433 0.433 0.866

Values from the calculation:
Energy relative to the elements: -0.172 eV per atom
Total DFT energy (no corrections): -2.9342 eV per atom
Crystal system: orthorhombic
Total moment: 0.00 Bohr magnetons per cell



No. 7
MnCdHgTeBr | PBE | relaxed

Cell lengths 4.457, 4.457, 10.137 Å; angles 90.02, 102.50, 120.04 degrees
Atoms (fractional coordinates):
Mn 0.958 0.587 0.447
Cd 0.375 0.295 0.575
Hg 0.697 0.452 0.051
Te 0.563 0.889 0.354
Br 0.141 0.678 0.728

Values from the calculation:
Total DFT energy (no corrections): -3.2082 eV per atom
Energy relative to the elements, uncorrected: -168.0 meV per atom
Crystal system: triclinic
Total moment: 4.06 Bohr magnetons per cell



No. 8
Tb5Ho3In | PBE | relaxed

Cell lengths 7.809, 7.809, 11.349 Å; angles 85.01, 85.01, 60.15 degrees
Atoms (fractional coordinates):
Tb 0.915 0.340 0.241
Tb 0.332 0.668 0.000
Tb 0.761 0.761 0.035
Tb 0.495 0.495 0.369
Tb 0.505 0.505 0.631
Tb 0.239 0.239 0.965
Tb 0.340 0.915 0.241
Tb 0.668 0.332 0.000
Tb 0.085 0.660 0.759
Tb 0.660 0.085 0.759
Ho 0.665 0.665 0.786
Ho 0.738 0.738 0.475
Ho 0.000 0.000 0.000
Ho 0.000 0.000 0.500
Ho 0.335 0.335 0.214
Ho 0.262 0.262 0.525
In 0.097 0.097 0.743
In 0.903 0.903 0.257

Values from the calculation:
Energy relative to the elements: 0.410 eV per atom
Total DFT energy (no corrections): -3.9926 eV per atom
Crystal system: monoclinic
Total moment: 0.00 Bohr magnetons per cell



No. 9
Rb3ErNp2O9 | PBE | relaxed

Cell lengths 6.109, 6.109, 7.483 Å; angles 90.00, 90.00, 120.00 degrees
Atoms (fractional coordinates):
Rb 0.333 0.667 0.663
Rb 0.000 0.000 0.000
Rb 0.667 0.333 0.337
Er 0.000 0.000 0.500
Np 0.333 0.667 0.168
Np 0.667 0.333 0.832
O 0.825 0.175 0.677
O 0.825 0.650 0.677
O 0.350 0.175 0.677
O 0.650 0.825 0.323
O 0.175 0.350 0.323
O 0.175 0.825 0.323
O 0.500 0.000 0.000
O 0.000 0.500 0.000
O 0.500 0.500 0.000

Values from the calculation:
Total DFT energy (no corrections): -7.8928 eV per atom
Energy relative to the elements, uncorrected: -2694.7 meV per atom
Crystal system: trigonal
Total moment: 2.00 Bohr magnetons per cell



No. 10
LiZnInAu2 | PBE | relaxed

Cell lengths 3.262, 8.090, 7.319 Å; angles 103.67, 90.00, 90.00 degrees
Atoms (fractional coordinates):
Li 0.250 0.864 0.339
Li 0.750 0.136 0.661
Zn 0.250 0.931 0.844
Zn 0.750 0.069 0.156
In 0.250 0.493 0.750
In 0.750 0.507 0.250
Au 0.750 0.750 0.589
Au 0.750 0.740 0.016
Au 0.250 0.250 0.411
Au 0.250 0.260 0.984

Values from the calculation:
Energy relative to the elements: -0.298 eV per atom
Total DFT energy (no corrections): -2.7938 eV per atom
Crystal system: monoclinic
Total moment: 0.00 Bohr magnetons per cell



No. 11
InFe2AsRh | PBE | relaxed

Cell lengths 4.747, 4.879, 4.747 Å; angles 90.00, 90.00, 90.00 degrees
Atoms (fractional coordinates):
As 0.500 0.500 0.500
Rh 0.000 0.500 0.000
Fe 0.000 0.000 0.500
Fe 0.500 0.000 0.000
In 0.000 0.000 0.000

Values from the calculation:
Energy relative to the elements: 1.456 eV per atom
Total DFT energy (no corrections): -4.8770 eV per atom
Crystal system: tetragonal
Total moment: 6.28 Bohr magnetons per cell



No. 12
CsLaFe3 | PBE | relaxed

Cell lengths 4.962, 4.962, 4.962 Å; angles 90.00, 90.00, 90.00 degrees
Atoms (fractional coordinates):
Cs 0.000 0.000 0.000
Fe 0.000 0.500 0.000
Fe 0.000 0.000 0.500
Fe 0.500 0.000 0.000
La 0.500 0.500 0.500

Values from the calculation:
Energy relative to the elements: 1.974 eV per atom
Total DFT energy (no corrections): -4.2598 eV per atom
Crystal system: cubic
Total moment: 6.53 Bohr magnetons per cell